This record from the Alexandria database describes a relaxed structure of SiSbCl2. The functional is PBE. Values from VASP.

```
&SYSTEM
  ibrav = 0, nat = 4, ntyp = 3
/
ATOMIC_SPECIES
Cl 35.45 Cl.upf
Sb 121.76 Sb.upf
Si 28.09 Si.upf
ATOMIC_POSITIONS angstrom
Cl 0.000 0.000 0.000
Cl -1.264 -1.453 -2.303
Sb -2.247 1.383 -2.268
Si -2.986 0.028 0.307
CELL_PARAMETERS angstrom
-3.969 2.864 0.341
-0.525 -0.098 -4.877
0.244 -4.190 2.540
```

Results
- Space group: I-4m2
- Volume: 20.82 Å³ per atom
- Excess energy over the best structure of this formula in the dataset: 0.6141 eV/atom
- Magnetization: 0.000 μB per cell
- Formation energy from raw total energies: 0.1821 eV/atom